ThZrIn2 PBE relaxed; crystal system = tetragonal; calculated formation energy = -0.22 eV/atom; magnetic moment = 0.0 μB/f.u.; space-group type = No. 123
1.0
4.698 0.000 0.000
0.000 4.698 0.000
0.000 0.000 4.667
Th Zr In
1 1 2
Direct
0.000 0.000 0.000
0.500 0.500 0.000
0.000 0.500 0.500
0.500 0.000 0.500